Arrangement w

The following is a PBE calculation of RbSbI2F after structural relaxation, from Alexandria.

## Properties
Fermi-level density of states = 0.50 states/eV per atom
SG = P4/mmm, No. 123

a b c (Å): 6.4277 6.4277 4.4985
angles (deg): 90.00 90.00 90.00
Last column: nearest neighbours and their distance in Å.
Atoms (fractional coordinates):
I  0.5000  0.0000  0.0000  2 Sb 3.21
I  0.0000  0.5000  0.0000  2 Sb 3.21
Rb  0.5000  0.5000  0.5000  8 I 3.92
Sb  0.0000  0.0000  0.0000  2 F 2.25
F  0.0000  0.0000  0.5000  2 Sb 2.25

Arrangement x

The following is a PBE calculation of RbSbI2F after structural relaxation, from Alexandria.

## Properties
Fermi-level density of states = 0.24 states/eV per atom
SG = P4/mmm, No. 123

a b c (Å): 6.3800 6.3800 4.2782
angles (deg): 90.00 90.00 90.00
Last column: nearest neighbours and their distance in Å.
Atoms (fractional coordinates):
Sb  0.0000  0.0000  0.5000  2 F 2.14
I  0.5000  0.0000  0.0000  2 F 3.19
I  0.0000  0.5000  0.0000  2 F 3.19
Rb  0.5000  0.5000  0.5000  8 I 3.84, 2 Rb 4.28
F  0.0000  0.0000  0.0000  2 Sb 2.14

Stability summary - winner: arrangement w; margin: 25.6 kJ/mol of atoms.

Arrangement w

The following is a PBE calculation of RbZnIF2 after structural relaxation, from Alexandria.

## Properties
Fermi-level density of states = 0.00 states/eV per atom
SG = Cmcm, No. 63

a b c (Å): 5.7840 6.8414 7.9426
angles (deg): 115.51 90.00 90.00
Last column: nearest neighbours and their distance in Å.
Atoms (fractional coordinates):
Rb  0.2500  0.6123  0.2246  4 F 3.00
Rb  0.7500  0.3877  0.7754  4 F 3.00
I  0.2500  0.2213  0.4427  1 Zn 2.60
I  0.7500  0.7787  0.5573  1 Zn 2.60
Zn  0.2500  0.0401  0.0803  4 F 2.05
Zn  0.7500  0.9599  0.9197  4 F 2.05
F  0.0000  0.8041  0.0000  2 Zn 2.05
F  0.0000  0.1959  0.0000  2 Zn 2.05
F  0.5000  0.1959  0.0000  2 Zn 2.05
F  0.5000  0.8041  0.0000  2 Zn 2.05

Arrangement x

The following is a PBE calculation of RbZnIF2 after structural relaxation, from Alexandria.

## Properties
Fermi-level density of states = 0.00 states/eV per atom
SG = P4/mmm, No. 123

a b c (Å): 4.6258 5.3280 4.6258
angles (deg): 90.00 90.00 90.00
Last column: nearest neighbours and their distance in Å.
Atoms (fractional coordinates):
Zn  0.0000  0.0000  0.0000  4 F 2.31
Rb  0.5000  0.5000  0.5000  4 I 3.27, 8 F 3.53
I  0.0000  0.5000  0.0000  2 Zn 2.66
F  0.5000  0.0000  0.0000  2 Zn 2.31
F  0.0000  0.0000  0.5000  2 Zn 2.31

Stability summary - winner: arrangement w; margin: 30.5 kJ/mol of atoms.

Arrangement w

The following is a PBE calculation of ReIF2 after structural relaxation, from Alexandria.

## Properties
Fermi-level density of states = 0.28 states/eV per atom
SG = Fm-3m, No. 225

a b c (Å): 4.5133 4.5133 4.5133
angles (deg): 60.00 60.00 60.00
Last column: nearest neighbours and their distance in Å.
Atoms (fractional coordinates):
I  0.0000  0.0000  0.0000  8 F 2.76
F  0.2500  0.2500  0.2500  4 Re 2.76, 4 I 2.76
F  0.7500  0.7500  0.7500  4 Re 2.76, 4 I 2.76
Re  0.5000  0.5000  0.5000  8 F 2.76

Arrangement x

The following is a PBE calculation of ReIF2 after structural relaxation, from Alexandria.

## Properties
Fermi-level density of states = 0.43 states/eV per atom
SG = I4_1/amd, No. 141

a b c (Å): 4.7860 4.7860 7.7914
angles (deg): 72.11 72.11 90.00
Last column: nearest neighbours and their distance in Å.
Atoms (fractional coordinates):
I  0.2500  0.7500  0.5000  8 F 3.20, 4 Re 3.38
I  0.5000  0.5000  0.0000  8 F 3.20, 4 Re 3.38
F  0.8753  0.1250  0.2500  2 Re 2.12
F  0.3750  0.1247  0.7500  2 Re 2.12
F  0.8750  0.1253  0.7500  2 Re 2.12
F  0.8747  0.6250  0.2500  2 Re 2.12
Re  0.0000  0.0000  0.0000  4 F 2.12
Re  0.7500  0.2500  0.5000  4 F 2.12

Arrangement y

The following is a PBE calculation of ReIF2 after structural relaxation, from Alexandria.

## Properties
Fermi-level density of states = 0.85 states/eV per atom
SG = R-3m, No. 166

a b c (Å): 10.5376 10.5376 10.5376
angles (deg): 16.22 16.22 16.22
Last column: nearest neighbours and their distance in Å.
Atoms (fractional coordinates):
F  0.0605  0.0605  0.0605  1 Re 1.89
F  0.9395  0.9395  0.9395  1 Re 1.89
I  0.5000  0.5000  0.5000  6 I 2.97
Re  0.0000  0.0000  0.0000  2 F 1.89

Stability summary - winner: arrangement y; margin: 48.2 kJ/mol of atoms.

Arrangement w

The following is a PBE calculation of ReI2F after structural relaxation, from Alexandria.

## Properties
Fermi-level density of states = 0.00 states/eV per atom
SG = Fm-3m, No. 225

a b c (Å): 4.6907 4.6907 4.6907
angles (deg): 60.00 60.00 60.00
Last column: nearest neighbours and their distance in Å.
Atoms (fractional coordinates):
F  0.0000  0.0000  0.0000  8 I 2.87
Re  0.5000  0.5000  0.5000  8 I 2.87
I  0.2500  0.2500  0.2500  4 Re 2.87, 4 F 2.87
I  0.7500  0.7500  0.7500  4 Re 2.87, 4 F 2.87

Arrangement x

The following is a PBE calculation of ReI2F after structural relaxation, from Alexandria.

## Properties
Fermi-level density of states = 0.55 states/eV per atom
SG = I-42d, No. 122

a b c (Å): 6.7128 6.7128 6.8608
angles (deg): 60.71 60.71 90.00
Last column: nearest neighbours and their distance in Å.
Atoms (fractional coordinates):
I  0.0963  0.6250  0.2500  2 Re 2.56, 2 F 2.80
I  0.8750  0.9037  0.7500  2 Re 2.56, 2 F 2.80
I  0.6537  0.1250  0.2500  2 Re 2.56, 2 F 2.80
I  0.3750  0.3463  0.7500  2 Re 2.56, 2 F 2.80
F  0.5000  0.5000  0.0000  4 I 2.80
F  0.2500  0.7500  0.5000  4 I 2.80
Re  0.7500  0.2500  0.5000  4 I 2.56
Re  0.0000  0.0000  0.0000  4 I 2.56

Stability summary - winner: arrangement x; margin: 3.0 kJ/mol of atoms.

Arrangement w

The following is a PBE calculation of ReSb2IF after structural relaxation, from Alexandria.

## Properties
Fermi-level density of states = 0.66 states/eV per atom
SG = P4/mmm, No. 123

a b c (Å): 4.6377 4.6377 5.5209
angles (deg): 90.00 90.00 90.00
Last column: nearest neighbours and their distance in Å.
Atoms (fractional coordinates):
I  0.0000  0.0000  0.5000  2 F 2.76
Sb  0.0000  0.5000  0.0000  2 F 2.32
Sb  0.5000  0.0000  0.0000  2 F 2.32
Re  0.5000  0.5000  0.5000  4 I 3.28, 8 Sb 3.61
F  0.0000  0.0000  0.0000  4 Sb 2.32

Arrangement x

The following is a PBE calculation of ReSb2IF after structural relaxation, from Alexandria.

## Properties
Fermi-level density of states = 1.07 states/eV per atom
SG = P4/mmm, No. 123

a b c (Å): 5.1025 5.1025 5.5916
angles (deg): 90.00 90.00 90.00
Last column: nearest neighbours and their distance in Å.
Atoms (fractional coordinates):
F  0.5000  0.5000  0.5000  4 I 3.61, 8 Sb 3.78
I  0.0000  0.0000  0.5000  2 Re 2.80
Sb  0.5000  0.0000  0.0000  2 Re 2.55
Sb  0.0000  0.5000  0.0000  2 Re 2.55
Re  0.0000  0.0000  0.0000  4 Sb 2.55, 2 I 2.80

Stability summary - winner: arrangement x; margin: 53.8 kJ/mol of atoms.

Arrangement w

The following is a PBE calculation of ReTeI2F after structural relaxation, from Alexandria.

## Properties
Fermi-level density of states = 1.03 states/eV per atom
SG = P4/mmm, No. 123

a b c (Å): 5.4805 5.4805 5.0868
angles (deg): 90.00 90.00 90.00
Last column: nearest neighbours and their distance in Å.
Atoms (fractional coordinates):
F  0.5000  0.5000  0.5000  8 I 3.74, 4 Te 3.88
Te  0.0000  0.0000  0.5000  2 Re 2.54
I  0.0000  0.5000  0.0000  2 Re 2.74
I  0.5000  0.0000  0.0000  2 Re 2.74
Re  0.0000  0.0000  0.0000  2 Te 2.54, 4 I 2.74

Arrangement x

The following is a PBE calculation of ReTeI2F after structural relaxation, from Alexandria.

## Properties
Fermi-level density of states = 0.67 states/eV per atom
SG = P4/mmm, No. 123

a b c (Å): 5.9072 5.9072 4.2479
angles (deg): 90.00 90.00 90.00
Last column: nearest neighbours and their distance in Å.
Atoms (fractional coordinates):
F  0.0000  0.0000  0.0000  2 Te 2.12
I  0.0000  0.5000  0.0000  2 F 2.95
I  0.5000  0.0000  0.0000  2 F 2.95
Te  0.0000  0.0000  0.5000  2 F 2.12
Re  0.5000  0.5000  0.5000  8 I 3.64

Stability summary - winner: arrangement w; margin: 58.4 kJ/mol of atoms.